# 1
# ErTmPd2

A relaxed structure of ErTmPd2 (GGA-PBE, OQMD).

Calculated values
- Calculated density: 10.67 g/cm³
- E above lowest polymorph: 3.4 meV/atom
- Total DFT energy (no corrections): -5.80 eV/atom
- E_form: -92 kJ/mol of atoms

Unit cell a=4.4614 b=5.6124 c=6.8232 alpha=90.00 beta=90.00 gamma=90.00
Sites, in units of the cell vectors:
Pd: 0.5000 0.0929 0.0417
Pd: 0.0000 0.5944 0.4586
Pd: 0.0000 0.4056 0.9586
Er: 0.5000 0.6073 0.1816
Tm: 0.0000 0.1072 0.3182
Tm: 0.0000 0.8928 0.8182
Pd: 0.5000 0.9071 0.5417
Er: 0.5000 0.3927 0.6816

---

# 2
# CdCuAgB

A relaxed structure of CdCuAgB (GGA-PBE, OQMD).

Calculated values
- Calculated density: 8.21 g/cm³
- E above lowest polymorph: 0.0 meV/atom
- Total DFT energy (no corrections): -2.72 eV/atom

Unit cell a=4.3847 b=4.3847 c=4.3847 alpha=60.00 beta=60.00 gamma=60.00
Sites, in units of the cell vectors:
Cu: 0.7500 0.7500 0.7500
Cd: 0.2500 0.2500 0.2500
B: 0.0000 0.0000 0.0000
Ag: 0.5000 0.5000 0.5000

---

# 3
# Ac2Re2O5

A relaxed structure of Ac2Re2O5 (GGA-PBE, OQMD).

Calculated values
- Calculated density: 12.46 g/cm³
- E above lowest polymorph: 0.0 meV/atom
- Total DFT energy (no corrections): -8.33 eV/atom

Unit cell a=7.0658 b=4.1339 c=4.1339 alpha=90.00 beta=90.00 gamma=90.00
Sites, in units of the cell vectors:
O: 0.2352 0.5000 0.0000
O: 0.5000 0.5000 0.5000
Re: 0.8260 0.5000 0.5000
O: 0.7648 0.0000 0.5000
O: 0.7648 0.5000 0.0000
O: 0.2352 0.0000 0.5000
Ac: 0.5000 0.0000 0.0000
Re: 0.1740 0.5000 0.5000
Ac: 0.0000 0.0000 0.0000

---

# 4
# KHoNiTe3

A relaxed structure of KHoNiTe3 (GGA-PBE, OQMD).

Calculated values
- Calculated density: 5.50 g/cm³
- Total DFT energy (no corrections): -4.35 eV/atom

Unit cell a=16.1178 b=4.2579 c=11.3502 alpha=90.00 beta=90.00 gamma=90.00
Sites, in units of the cell vectors:
Ho: 0.9759 0.2500 0.3440
Ni: 0.4836 0.7500 0.3884
K: 0.7715 0.2500 0.0247
Te: 0.1418 0.2500 0.7524
K: 0.2715 0.2500 0.4753
Te: 0.1038 0.7500 0.4148
Te: 0.9323 0.7500 0.9003
Te: 0.3962 0.2500 0.9148
Te: 0.8962 0.2500 0.5852
Ni: 0.0164 0.2500 0.8884
K: 0.7285 0.7500 0.5247
Te: 0.4323 0.7500 0.5997
Ho: 0.5241 0.7500 0.8440
K: 0.2285 0.7500 0.9753
Ho: 0.4759 0.2500 0.1560
Te: 0.0677 0.2500 0.0997
Te: 0.8582 0.7500 0.2476
Te: 0.3582 0.7500 0.2524
Te: 0.6038 0.7500 0.0852
Ni: 0.5164 0.2500 0.6116
Ho: 0.0241 0.7500 0.6560
Te: 0.6418 0.2500 0.7476
Te: 0.5677 0.2500 0.4003
Ni: 0.9836 0.7500 0.1116

---

# 5
# ZrAs

A relaxed structure of ZrAs (GGA-PBE, OQMD).

Calculated values
- Calculated density: 6.72 g/cm³
- Total DFT energy (no corrections): -7.68 eV/atom

Unit cell a=5.4758 b=5.4770 c=5.4752 alpha=90.00 beta=90.00 gamma=90.00
Sites, in units of the cell vectors:
As: 0.9172 0.8757 0.5000
As: 0.9161 0.3743 0.0000
Zr: 0.9173 0.3761 0.5000
As: 0.4172 0.3743 0.5000
Zr: 0.9161 0.8739 0.0000
Zr: 0.4161 0.3761 0.0000
Zr: 0.4173 0.8739 0.5000
As: 0.4161 0.8757 0.0000

---

# 6
# LaTmCd

A relaxed structure of LaTmCd (GGA-PBE, OQMD).

Calculated values
- Calculated density: 7.57 g/cm³
- E above lowest polymorph: 0.0 meV/atom
- Total DFT energy (no corrections): -3.13 eV/atom
- E_form: 29 kJ/mol of atoms

Unit cell a=5.0714 b=5.0714 c=5.0714 alpha=60.00 beta=60.00 gamma=60.00
Sites, in units of the cell vectors:
La: 0.7500 0.7500 0.7500
Tm: 0.0000 0.0000 0.0000
Cd: 0.2500 0.2500 0.2500

---

# 7
# LiDyIr

A relaxed structure of LiDyIr (GGA-PBE, OQMD).

Calculated values
- Calculated density: 10.90 g/cm³
- E above lowest polymorph: 0.0 meV/atom
- Total DFT energy (no corrections): -5.30 eV/atom

Unit cell a=4.2711 b=4.2711 c=4.2711 alpha=60.00 beta=60.00 gamma=60.00
Sites, in units of the cell vectors:
Dy: 0.5000 0.5000 0.5000
Li: 0.2500 0.2500 0.2500
Ir: 0.0000 0.0000 0.0000

---

# 8
# LiCdAsF6

A relaxed structure of LiCdAsF6 (GGA-PBE, OQMD).

Calculated values
- Calculated density: 4.86 g/cm³
- Total DFT energy (no corrections): -4.30 eV/atom

Unit cell a=5.0988 b=5.0988 c=9.3593 alpha=90.01 beta=90.01 gamma=120.01
Sites, in units of the cell vectors:
F: 0.0146 0.6493 0.8688
F: 0.3652 0.3507 0.3688
Li: 0.6666 0.3334 0.2500
Cd: 0.0000 0.0000 0.5000
As: 0.6667 0.3333 0.7500
F: 0.6493 0.6348 0.1312
F: 0.6348 0.6493 0.6312
F: 0.9855 0.6348 0.3688
F: 0.9854 0.3507 0.1312
As: 0.3333 0.6667 0.2500
F: 0.3507 0.9854 0.6312
F: 0.0145 0.3652 0.6312
F: 0.6493 0.0146 0.3688
F: 0.3507 0.3652 0.8688
F: 0.6348 0.9855 0.8688
F: 0.3652 0.0145 0.1312
Cd: 0.0000 0.0000 0.0000
Li: 0.3334 0.6666 0.7500

---

# 9
# Mg2Os2O5

A relaxed structure of Mg2Os2O5 (GGA-PBE, OQMD).

Calculated values
- Calculated density: 8.50 g/cm³
- Total DFT energy (no corrections): -6.42 eV/atom

Unit cell a=8.4464 b=3.4322 c=3.4322 alpha=90.00 beta=90.00 gamma=90.00
Each line ends with the local moment (μB).
Sites, in units of the cell vectors:
Os: 0.0000 0.0000 0.0000  0.79
O: 0.8622 0.5000 0.0000  0.09
Mg: 0.2531 0.5000 0.5000  0.01
Mg: 0.7469 0.5000 0.5000  0.01
O: 0.5000 0.5000 0.5000  0.08
O: 0.1378 0.0000 0.5000  0.02
O: 0.1378 0.5000 0.0000  0.09
Os: 0.5000 0.0000 0.0000  2.19
O: 0.8622 0.0000 0.5000  0.02

---

# 10
# LiSbPd2

A relaxed structure of LiSbPd2 (GGA-PBE, OQMD).

Calculated values
- Calculated density: 8.80 g/cm³
- Total DFT energy (no corrections): -4.72 eV/atom

Unit cell a=4.4989 b=6.3635 c=8.9998 alpha=90.00 beta=90.00 gamma=90.00
Sites, in units of the cell vectors:
Pd: 0.7483 0.0000 0.1250
Pd: 0.2517 0.0000 0.8750
Li: 0.2513 0.7500 0.6250
Pd: 0.2483 0.4999 0.3750
Pd: 0.2483 0.0000 0.3750
Li: 0.7487 0.2500 0.3750
Li: 0.2487 0.7500 0.1250
Sb: 0.2514 0.2500 0.6250
Pd: 0.2517 0.4999 0.8750
Pd: 0.7483 0.5001 0.1250
Pd: 0.7517 0.0000 0.6250
Sb: 0.7514 0.7500 0.8750
Sb: 0.7486 0.7500 0.3750
Li: 0.7513 0.2500 0.8750
Pd: 0.7517 0.5001 0.6250
Sb: 0.2486 0.2500 0.1250

---

# 11
# YHoAu2

A relaxed structure of YHoAu2 (GGA-PBE, OQMD).

Calculated values
- Calculated density: 11.39 g/cm³
- E above lowest polymorph: 0.0 meV/atom
- Total DFT energy (no corrections): -5.28 eV/atom
- E_form: -86 kJ/mol of atoms

Unit cell a=4.6508 b=5.7769 c=5.7769 alpha=37.47 beta=90.00 gamma=90.00
Sites, in units of the cell vectors:
Au: 0.5000 0.0889 0.0889
Ho: 0.5000 0.3604 0.3604
Au: 0.0000 0.9110 0.9110
Y: 0.0000 0.6398 0.6398

---

# 12
# KPtNO

A relaxed structure of KPtNO (GGA-PBE, OQMD).

Calculated values
- Calculated density: 6.60 g/cm³
- E above lowest polymorph: 0.0 meV/atom
- Total DFT energy (no corrections): -5.29 eV/atom

Unit cell a=4.0290 b=7.4513 c=4.4268 alpha=90.00 beta=90.00 gamma=90.00
Sites, in units of the cell vectors:
N: 0.0000 0.6881 0.4983
K: 0.5000 0.1870 0.0066
Pt: 0.0000 0.9377 0.5021
O: 0.5000 0.9412 0.5985
N: 0.0000 0.1881 0.5017
Pt: 0.0000 0.4377 0.4979
K: 0.5000 0.6870 0.9934
O: 0.5000 0.4412 0.4015

---

# 13
# PrUZn

A relaxed structure of PrUZn (GGA-PBE, OQMD).

Calculated values
- Calculated density: 8.54 g/cm³
- E above lowest polymorph: 0.0 meV/atom
- Total DFT energy (no corrections): -5.12 eV/atom
- E_form: 63 kJ/mol of atoms

Unit cell a=4.9626 b=4.9626 c=4.9626 alpha=60.00 beta=60.00 gamma=60.00
Each line ends with the local moment (μB).
Sites, in units of the cell vectors:
Pr: 0.2500 0.2500 0.2500  0.23
U: 0.7500 0.7500 0.7500  2.59
Zn: 0.0000 0.0000 0.0000  -0.01

---

# 14
# Cu2Ag3

A relaxed structure of Cu2Ag3 (GGA-PBE, OQMD).

Calculated values
- Calculated density: 9.63 g/cm³
- E above lowest polymorph: 66.1 meV/atom
- Total DFT energy (no corrections): -3.08 eV/atom
- E_form: 9 kJ/mol of atoms

Unit cell a=7.4221 b=7.4221 c=4.8395 alpha=96.06 beta=96.06 gamma=141.97
Sites, in units of the cell vectors:
Ag: 0.9508 0.0492 0.2500
Cu: 0.5501 0.4499 0.2500
Cu: 0.4499 0.5501 0.7500
Ag: 0.3518 0.6482 0.2500
Ag: 0.8457 0.1543 0.7500
Cu: 0.7463 0.2537 0.2500
Ag: 0.0492 0.9508 0.7500
Ag: 0.1543 0.8457 0.2500
Ag: 0.6482 0.3518 0.7500
Cu: 0.2537 0.7463 0.7500

---

# 15
# ThUMo

A relaxed structure of ThUMo (GGA-PBE, OQMD).

Calculated values
- Calculated density: 12.00 g/cm³
- E above lowest polymorph: 0.0 meV/atom
- Total DFT energy (no corrections): -9.14 eV/atom
- E_form: 69 kJ/mol of atoms

Unit cell a=4.8019 b=4.8019 c=4.8019 alpha=60.00 beta=60.00 gamma=60.00
Sites, in units of the cell vectors:
U: 0.7500 0.7500 0.7500
Th: 0.2500 0.2500 0.2500
Mo: 0.0000 0.0000 0.0000

---

# 16
# NaGdTe3Pd

A relaxed structure of NaGdTe3Pd (GGA-PBE, OQMD).

Calculated values
- Calculated density: 6.16 g/cm³
- Total DFT energy (no corrections): -4.34 eV/atom

Unit cell a=8.4718 b=8.4718 c=10.1340 alpha=90.00 beta=90.00 gamma=150.26
Sites, in units of the cell vectors:
Te: 0.8907 0.1093 0.2500
Te: 0.1093 0.8907 0.7500
Na: 0.2418 0.7582 0.2500
Te: 0.6252 0.3748 0.0904
Te: 0.3748 0.6252 0.9096
Pd: 0.4949 0.5051 0.2500
Te: 0.3748 0.6252 0.5904
Gd: 0.0000 0.0000 0.5000
Na: 0.7582 0.2418 0.7500
Pd: 0.5051 0.4949 0.7500
Te: 0.6252 0.3748 0.4096
Gd: 0.0000 0.0000 0.0000

---

# 17
# Nd2SbBrCl

A relaxed structure of Nd2SbBrCl (GGA-PBE, OQMD).

Calculated values
- Calculated density: 5.00 g/cm³
- Total DFT energy (no corrections): -5.05 eV/atom

Unit cell a=4.3472 b=4.3472 c=10.6758 alpha=90.00 beta=90.00 gamma=120.00
Sites, in units of the cell vectors:
Sb: 0.3333 0.6667 0.9958
Nd: 0.6667 0.3333 0.1667
Nd: 0.0000 0.0000 0.8250
Br: 0.0000 0.0000 0.3324
Cl: 0.6667 0.3333 0.6801

---

# 18
# ZrBOs2

A relaxed structure of ZrBOs2 (GGA-PBE, OQMD).

Calculated values
- Calculated density: 13.72 g/cm³
- Total DFT energy (no corrections): -8.80 eV/atom

Unit cell a=4.3549 b=4.3549 c=4.3549 alpha=60.00 beta=60.00 gamma=60.00
Sites, in units of the cell vectors:
B: 0.5000 0.5000 0.5000
Os: 0.0000 0.0000 0.0000
Zr: 0.2500 0.2500 0.2500
Os: 0.7500 0.7500 0.7500

---

# 19
# Tb2PPb

A relaxed structure of Tb2PPb (GGA-PBE, OQMD).

Calculated values
- Calculated density: 8.58 g/cm³
- Total DFT energy (no corrections): -5.66 eV/atom

Unit cell a=3.9504 b=3.9504 c=8.2860 alpha=103.72 beta=103.72 gamma=59.90
Sites, in units of the cell vectors:
Pb: 0.0000 0.0000 0.0000
Tb: 0.2325 0.2325 0.6982
P: 0.5000 0.5000 0.5000
Tb: 0.7675 0.7675 0.3018

---

# 20
# SrIrPd

A relaxed structure of SrIrPd (GGA-PBE, OQMD).

Calculated values
- Calculated density: 8.86 g/cm³
- E above lowest polymorph: 545.4 meV/atom
- Total DFT energy (no corrections): -4.33 eV/atom

Unit cell a=4.6788 b=4.6788 c=4.6788 alpha=60.00 beta=60.00 gamma=60.00
Sites, in units of the cell vectors:
Pd: 0.7500 0.7500 0.7500
Ir: 0.2500 0.2500 0.2500
Sr: 0.0000 0.0000 0.0000